Computed, not measured: a relaxed Ce6DyTh2 crystal at the GGA-PBE level of DFT.

spin magnetization = 0.001 μB per cell
crystal system = trigonal
theoretical density = 9.1 Mg/m³
DFT formation energy = 183 meV/atom

abc: 9.5467 9.5467 3.3986
angles: 90.00 90.00 120.00
Last column: nearest neighbours and their distance in Å.
Space group P-3 (No. 147)
Unique sites:
Ce  0.0207  0.3477  0.2237 (multiplicity 6)  3 Th 3.32-3.47, 1 Dy 3.36, 6 Ce 3.40-3.65
Dy  0.0000  0.0000  0.5000 (multiplicity 1)  6 Ce 3.36, 2 Dy 3.40
Th  0.3333  0.6667  0.7307 (multiplicity 2)  9 Ce 3.32-3.47, 2 Th 3.40

---

Computed, not measured: a relaxed Ce3DyTh crystal at the GGA-PBE level of DFT.

spin magnetization = 0.000 μB per cell
crystal system = monoclinic
theoretical density = 9.3 Mg/m³
DFT formation energy = 62 meV/atom

abc: 11.3974 3.4488 15.0393
angles: 90.00 101.69 90.00
Last column: nearest neighbours and their distance in Å.
Space group C2/m (No. 12)
Unique sites:
Ce  0.0472  0.0000  0.3578 (multiplicity 4)  7 Ce 3.32-3.46, 3 Dy 3.44-3.48, 2 Th 3.50
Ce  0.1486  0.0000  0.0465 (multiplicity 4)  5 Ce 3.39-3.45, 5 Th 3.46-3.51, 2 Dy 3.55
Ce  0.1498  0.5000  0.5461 (multiplicity 4)  10 Ce 3.32-3.46, 2 Dy 3.46
Dy  0.2489  0.5000  0.2541 (multiplicity 4)  3 Th 3.41-3.47, 7 Ce 3.44-3.55, 2 Dy 3.45
Th  0.0474  0.5000  0.8465 (multiplicity 4)  3 Dy 3.41-3.47, 2 Th 3.45, 7 Ce 3.46-3.51

---

Computed, not measured: a relaxed Ce4DyTh15 crystal at the GGA-PBE level of DFT.

spin magnetization = 0.000 μB per cell
crystal system = tetragonal
theoretical density = 11.2 Mg/m³
DFT formation energy = 12 meV/atom

abc: 4.9952 4.9952 24.8660
angles: 90.00 90.00 90.00
Last column: nearest neighbours and their distance in Å.
Space group P4/mmm (No. 123)
Unique sites:
Ce  0.0000  0.0000  0.0995 (multiplicity 2)  12 Th 3.51-3.53
Ce  0.0000  0.0000  0.2986 (multiplicity 2)  12 Th 3.51-3.53
Dy  0.0000  0.0000  0.5000 (multiplicity 1)  12 Th 3.53-3.56
Th  0.0000  0.5000  0.0000 (multiplicity 2)  8 Th 3.51-3.53, 4 Ce 3.52
Th  0.0000  0.5000  0.1987 (multiplicity 4)  8 Th 3.50-3.53, 4 Ce 3.51-3.52
Th  0.0000  0.5000  0.3978 (multiplicity 4)  2 Ce 3.51, 8 Th 3.53-3.56, 2 Dy 3.56
Th  0.5000  0.5000  0.0992 (multiplicity 2)  8 Th 3.51-3.52, 4 Ce 3.53
Th  0.5000  0.5000  0.2975 (multiplicity 2)  8 Th 3.50-3.53, 4 Ce 3.53
Th  0.5000  0.5000  0.5000 (multiplicity 1)  4 Dy 3.53, 8 Th 3.56

---

Computed, not measured: a relaxed CeDyThTl crystal at the GGA-PBE level of DFT.

spin magnetization = 1.083 μB per cell
crystal system = cubic
theoretical density = 10.6 Mg/m³
DFT formation energy = 49 meV/atom

abc: 7.7446 7.7446 7.7446
angles: 90.00 90.00 90.00
Last column: nearest neighbours and their distance in Å.
Space group F-43m (No. 216)
Unique sites:
Ce  0.0000  0.0000  0.0000 (multiplicity 4)  4 Tl 3.35, 4 Th 3.35
Dy  0.0000  0.0000  0.5000 (multiplicity 4)  4 Tl 3.35, 4 Th 3.35
Th  0.2500  0.2500  0.2500 (multiplicity 4)  4 Dy 3.35, 4 Ce 3.35
Tl  0.2500  0.2500  0.7500 (multiplicity 4)  4 Dy 3.35, 4 Ce 3.35